(1)
A plane-wave DFT calculation with PBE was carried out for a relaxed structure of TeW2Cl.

Cell and atoms, written as CIF:
```
data_TeW2Cl
_symmetry_space_group_name_H-M 'P 4 m m'
_symmetry_Int_Tables_number 99
_cell_length_a 3.078
_cell_length_b 3.078
_cell_length_c 9.093
_cell_angle_alpha 90.00
_cell_angle_beta 90.00
_cell_angle_gamma 90.00
loop_
_symmetry_equiv_pos_as_xyz
'x,y,z'
'-y,x,z'
'-x,-y,z'
'y,-x,z'
'-x,y,z'
'y,x,z'
'x,-y,z'
'-y,-x,z'
loop_
_atom_site_label
_atom_site_type_symbol
_atom_site_fract_x
_atom_site_fract_y
_atom_site_fract_z
Te1 Te 0.000 0.000 0.000
W1 W 0.000 0.000 0.392
W2 W 0.500 0.500 0.197
Cl1 Cl 0.500 0.500 0.580
```

**ΔE_f (raw)**: 283 meV/atom
**DFT total energy**: -7.441 eV per atom
**Calculated volume**: 21.54 Å³/atom
**Relative energy among the computed polymorphs**: 0.197 eV/atom

***

(2)
A plane-wave DFT calculation with PBE was carried out for a relaxed structure of ErVPd2.

Cell and atoms, written as CIF:
```
data_ErVPd2
_symmetry_space_group_name_H-M 'P 4/m m m'
_symmetry_Int_Tables_number 123
_symmetry_space_group_name_Hall '-P 4 2'
_cell_length_a 4.513
_cell_length_b 4.513
_cell_length_c 3.547
_cell_angle_alpha 90.00
_cell_angle_beta 90.00
_cell_angle_gamma 90.00
loop_
_atom_site_label
_atom_site_type_symbol
_atom_site_fract_x
_atom_site_fract_y
_atom_site_fract_z
Er1 Er 0.000 0.000 0.000
V1 V 0.500 0.500 0.000
Pd1 Pd 0.000 0.500 0.500
```

**DFT total energy**: -6.446 eV per atom
**Calculated volume**: 18.06 Å³/atom
**Formation energy from the elements**: -0.43 eV/atom

***

(3)
A plane-wave DFT calculation with PBE was carried out for a relaxed structure of PrZrCuPd.

Cell and atoms, written as CIF:
```
data_PrZrCuPd
_symmetry_space_group_name_H-M 'F -4 3 m'
_symmetry_Int_Tables_number 216
_symmetry_space_group_name_Hall 'F -4 2 3'
_cell_length_a 6.964
_cell_length_b 6.964
_cell_length_c 6.964
_cell_angle_alpha 90.00
_cell_angle_beta 90.00
_cell_angle_gamma 90.00
loop_
_atom_site_label
_atom_site_type_symbol
_atom_site_fract_x
_atom_site_fract_y
_atom_site_fract_z
Pr1 Pr 0.000 0.000 0.000
Zr1 Zr 0.000 0.000 0.500
Cu1 Cu 0.250 0.250 0.250
Pd1 Pd 0.250 0.250 0.750
```

**DFT total energy**: -5.899 eV per atom
**Calculated volume**: 21.10 Å³/atom
**Formation energy from the elements**: -0.25 eV/atom